(1)
# Na4AsPPd2, relaxed, DFT PBE-GGA
# calculated total energy	-27.5	eV for the cell shown
# energy above the lowest structure with this stoichiometry	0.196	eV per atom
data_Na4AsPPd2
_space_group_name_H-M_alt 'P -4 m 2'
_space_group_IT_number 115
_space_group_name_Hall 'P -4 -2'
_cell_length_a 4.616
_cell_length_b 4.616
_cell_length_c 6.569
_cell_angle_alpha 90.00
_cell_angle_beta 90.00
_cell_angle_gamma 90.00
loop_
_atom_site_label
_atom_site_type_symbol
_atom_site_fract_x
_atom_site_fract_y
_atom_site_fract_z
Na1 Na 0.000 0.000 0.000
Na2 Na 0.000 0.500 0.244
Na3 Na 0.500 0.500 0.500
As1 As 0.000 0.000 0.500
P1 P 0.500 0.500 0.000
Pd1 Pd 0.000 0.500 0.762



(2)
# NbCoSbIr, relaxed, DFT PBE-GGA
# calculated total energy	-119.6	eV for the cell shown
# energy above the lowest structure with this stoichiometry	0.000	eV per atom
# magnetic moment	0.774	μB per formula unit
data_NbCoSbIr
_space_group_name_H-M_alt 'F -4 3 m'
_space_group_IT_number 216
_space_group_name_Hall 'F -4 2 3'
_cell_length_a 6.376
_cell_length_b 6.376
_cell_length_c 6.376
_cell_angle_alpha 90.00
_cell_angle_beta 90.00
_cell_angle_gamma 90.00
loop_
_atom_site_label
_atom_site_type_symbol
_atom_site_fract_x
_atom_site_fract_y
_atom_site_fract_z
Nb1 Nb 0.000 0.000 0.000
Co1 Co 0.250 0.250 0.750
Sb1 Sb 0.000 0.000 0.500
Ir1 Ir 0.250 0.250 0.250



(3)
# Ni3Sb, relaxed, DFT PBE-GGA
# calculated total energy	-42.9	eV for the cell shown
# energy above the lowest structure with this stoichiometry	0.014	eV per atom
# magnetic moment	0.003	μB per formula unit
data_Ni3Sb
_space_group_name_H-M_alt 'P 63/m m c'
_space_group_IT_number 194
_space_group_name_Hall '-P 6c 2c'
_cell_length_a 5.2873
_cell_length_b 5.2873
_cell_length_c 4.2663
_cell_angle_alpha 90.00
_cell_angle_beta 90.00
_cell_angle_gamma 120.00
loop_
_atom_site_label
_atom_site_type_symbol
_atom_site_fract_x
_atom_site_fract_y
_atom_site_fract_z
Ni1 Ni 0.1625 0.3249 0.2500
Sb1 Sb 0.3333 0.6667 0.7500



(4)
# ZrCdFeGe, relaxed, DFT PBE-GGA
# calculated total energy	-86.6	eV for the cell shown
# energy above the lowest structure with this stoichiometry	0.098	eV per atom
# magnetic moment	1.140	μB per formula unit
data_ZrCdFeGe
_space_group_name_H-M_alt 'F -4 3 m'
_space_group_IT_number 216
_space_group_name_Hall 'F -4 2 3'
_cell_length_a 6.539
_cell_length_b 6.539
_cell_length_c 6.539
_cell_angle_alpha 90.00
_cell_angle_beta 90.00
_cell_angle_gamma 90.00
loop_
_atom_site_label
_atom_site_type_symbol
_atom_site_fract_x
_atom_site_fract_y
_atom_site_fract_z
Zr1 Zr 0.000 0.000 0.000
Cd1 Cd 0.250 0.250 0.250
Fe1 Fe 0.250 0.250 0.750
Ge1 Ge 0.000 0.000 0.500



(5)
# RbBeBiPd, relaxed, DFT PBE-GGA
# calculated total energy	-44.9	eV for the cell shown
# energy above the lowest structure with this stoichiometry	0.153	eV per atom
data_RbBeBiPd
_space_group_name_H-M_alt 'F -4 3 m'
_space_group_IT_number 216
_space_group_name_Hall 'F -4 2 3'
_cell_length_a 7.237
_cell_length_b 7.237
_cell_length_c 7.237
_cell_angle_alpha 90.00
_cell_angle_beta 90.00
_cell_angle_gamma 90.00
loop_
_atom_site_label
_atom_site_type_symbol
_atom_site_fract_x
_atom_site_fract_y
_atom_site_fract_z
Rb1 Rb 0.000 0.000 0.000
Be1 Be 0.000 0.000 0.500
Bi1 Bi 0.250 0.250 0.750
Pd1 Pd 0.250 0.250 0.250



(6)
# YAgPbSe3, relaxed, DFT PBE-GGA
# calculated total energy	-116.2	eV for the cell shown
# energy above the lowest structure with this stoichiometry	0.049	eV per atom
# magnetic moment	0.002	μB per formula unit
data_YAgPbSe3
_space_group_name_H-M_alt 'P n m a'
_space_group_IT_number 62
_space_group_name_Hall '-P 2ac 2n'
_cell_length_a 8.476
_cell_length_b 4.291
_cell_length_c 16.681
_cell_angle_alpha 90.00
_cell_angle_beta 90.00
_cell_angle_gamma 90.00
loop_
_atom_site_label
_atom_site_type_symbol
_atom_site_fract_x
_atom_site_fract_y
_atom_site_fract_z
Y1 Y 0.248 0.250 0.032
Ag1 Ag 0.126 0.750 0.860
Pb1 Pb 0.074 0.750 0.276
Se1 Se 0.029 0.750 0.088
Se2 Se 0.111 0.250 0.444
Se3 Se 0.188 0.750 0.705



(7)
# PrTe2Au2, relaxed, DFT PBE-GGA
# calculated total energy	-39.4	eV for the cell shown
# energy above the lowest structure with this stoichiometry	0.000	eV per atom
# magnetic moment	0.005	μB per formula unit
data_PrTe2Au2
_space_group_name_H-M_alt 'I 4/m m m'
_space_group_IT_number 139
_space_group_name_Hall '-I 4 2'
_cell_length_a 4.211
_cell_length_b 4.211
_cell_length_c 14.003
_cell_angle_alpha 90.00
_cell_angle_beta 90.00
_cell_angle_gamma 90.00
loop_
_atom_site_label
_atom_site_type_symbol
_atom_site_fract_x
_atom_site_fract_y
_atom_site_fract_z
Pr1 Pr 0.000 0.000 0.000
Te1 Te 0.000 0.000 0.392
Au1 Au 0.000 0.500 0.250



(8)
# DyAlPO, relaxed, DFT PBE-GGA
# calculated total energy	-51.2	eV for the cell shown
# energy above the lowest structure with this stoichiometry	0.009	eV per atom
# magnetic moment	0.005	μB per formula unit
data_DyAlPO
_space_group_name_H-M_alt 'P m c 21'
_space_group_IT_number 26
_space_group_name_Hall 'P 2c -2'
_cell_length_a 3.939
_cell_length_b 4.589
_cell_length_c 6.683
_cell_angle_alpha 90.00
_cell_angle_beta 90.00
_cell_angle_gamma 90.00
loop_
_atom_site_label
_atom_site_type_symbol
_atom_site_fract_x
_atom_site_fract_y
_atom_site_fract_z
Dy1 Dy 0.000 0.168 0.000
Al1 Al 0.500 0.342 0.349
P1 P 0.500 0.163 0.695
O1 O 0.000 0.342 0.348



(9)
# SrB4Os, relaxed, DFT PBE-GGA
# calculated total energy	-74.8	eV for the cell shown
# energy above the lowest structure with this stoichiometry	0.171	eV per atom
# magnetic moment	0.001	μB per formula unit
data_SrB4Os
_space_group_name_H-M_alt 'I m m m'
_space_group_IT_number 71
_space_group_name_Hall '-I 2 2'
_cell_length_a 3.120
_cell_length_b 5.468
_cell_length_c 7.525
_cell_angle_alpha 90.00
_cell_angle_beta 90.00
_cell_angle_gamma 90.00
loop_
_atom_site_label
_atom_site_type_symbol
_atom_site_fract_x
_atom_site_fract_y
_atom_site_fract_z
Sr1 Sr 0.000 0.000 0.000
B1 B 0.000 0.342 0.244
Os1 Os 0.000 0.000 0.500



(10)
# MgCoTcGe, relaxed, DFT PBE-GGA
# calculated total energy	-93.9	eV for the cell shown
# energy above the lowest structure with this stoichiometry	0.000	eV per atom
# magnetic moment	0.653	μB per formula unit
data_MgCoTcGe
_space_group_name_H-M_alt 'F -4 3 m'
_space_group_IT_number 216
_space_group_name_Hall 'F -4 2 3'
_cell_length_a 6.023
_cell_length_b 6.023
_cell_length_c 6.023
_cell_angle_alpha 90.00
_cell_angle_beta 90.00
_cell_angle_gamma 90.00
loop_
_atom_site_label
_atom_site_type_symbol
_atom_site_fract_x
_atom_site_fract_y
_atom_site_fract_z
Mg1 Mg 0.000 0.000 0.000
Co1 Co 0.250 0.250 0.250
Tc1 Tc 0.250 0.250 0.750
Ge1 Ge 0.000 0.000 0.500



(11)
# SrErNb, relaxed, DFT PBE-GGA
# calculated total energy	-51.8	eV for the cell shown
# magnetic moment	3.896	μB per formula unit
data_SrErNb
_space_group_name_H-M_alt 'F -4 3 m'
_space_group_IT_number 216
_space_group_name_Hall 'F -4 2 3'
_cell_length_a 7.557
_cell_length_b 7.557
_cell_length_c 7.557
_cell_angle_alpha 90.00
_cell_angle_beta 90.00
_cell_angle_gamma 90.00
loop_
_atom_site_label
_atom_site_type_symbol
_atom_site_fract_x
_atom_site_fract_y
_atom_site_fract_z
Sr1 Sr 0.000 0.000 0.000
Er1 Er 0.000 0.000 0.500
Nb1 Nb 0.250 0.250 0.750



(12)
# Tb2NdSe3, relaxed, DFT PBE-GGA
# calculated total energy	-35.3	eV for the cell shown
# magnetic moment	0.001	μB per formula unit
data_Tb2NdSe3
_space_group_name_H-M_alt 'P -3 m 1'
_space_group_IT_number 164
_space_group_name_Hall '-P 3 2"'
_cell_length_a 4.1190
_cell_length_b 4.1190
_cell_length_c 10.1826
_cell_angle_alpha 90.00
_cell_angle_beta 90.00
_cell_angle_gamma 120.00
loop_
_atom_site_label
_atom_site_type_symbol
_atom_site_fract_x
_atom_site_fract_y
_atom_site_fract_z
Tb1 Tb 0.3333 0.6667 0.1639
Nd1 Nd 0.0000 0.0000 0.5000
Se1 Se 0.0000 0.0000 0.0000
Se2 Se 0.3333 0.6667 0.6769



(13)
# TaNbGa, relaxed, DFT PBE-GGA
# calculated total energy	-89.7	eV for the cell shown
# energy above the lowest structure with this stoichiometry	0.000	eV per atom
# magnetic moment	0.365	μB per formula unit
data_TaNbGa
_space_group_name_H-M_alt 'F -4 3 m'
_space_group_IT_number 216
_space_group_name_Hall 'F -4 2 3'
_cell_length_a 6.321
_cell_length_b 6.321
_cell_length_c 6.321
_cell_angle_alpha 90.00
_cell_angle_beta 90.00
_cell_angle_gamma 90.00
loop_
_atom_site_label
_atom_site_type_symbol
_atom_site_fract_x
_atom_site_fract_y
_atom_site_fract_z
Ta1 Ta 0.000 0.000 0.000
Nb1 Nb 0.250 0.250 0.750
Ga1 Ga 0.000 0.000 0.500